Entry 1:
First-principles (PBE-GGA) data for crystalline La6Ir2SeI3 at its relaxed geometry, as listed in the Alexandria database.

Results
Symmetry: C2/m, No. 12
Raw total energy (eV for the cell shown): -70.23
Energy relative to the elements, uncorrected (eV/atom): -1.2341
Magnetization (μB/f.u.): 0.000

a b c (Å): 7.528 7.528 8.475
angles (deg): 98.44 98.44 120.10
Positions (direct):
La1 0.580 0.935 0.809
La2 0.935 0.580 0.809
La3 0.292 0.292 0.810
La4 0.420 0.065 0.191
La5 0.708 0.708 0.190
La6 0.065 0.420 0.191
Ir1 0.333 0.667 0.000
Ir2 0.667 0.333 0.000
Se1 0.000 0.000 0.000
I1 0.162 0.838 0.500
I2 0.500 0.500 0.500
I3 0.838 0.162 0.500

Entry 2:
First-principles (PBE-GGA) data for crystalline La6Ir2SeI2 at its relaxed geometry, as listed in the Alexandria database.

Results
Symmetry: C2/m, No. 12
Raw total energy (eV for the cell shown): -65.63
Energy relative to the elements, uncorrected (eV/atom): -1.0694
Magnetization (μB/f.u.): 0.001

a b c (Å): 7.480 7.480 8.118
angles (deg): 98.31 98.31 118.79
Positions (direct):
La1 0.415 0.067 0.698
La2 0.933 0.585 0.302
La3 0.067 0.415 0.698
La4 0.699 0.699 0.701
La5 0.301 0.301 0.299
La6 0.585 0.933 0.302
I1 0.840 0.160 0.000
I2 0.160 0.840 0.000
Se1 0.000 0.000 0.500
Ir1 0.330 0.670 0.500
Ir2 0.670 0.330 0.500

Entry 3:
First-principles (PBE-GGA) data for crystalline La6Si2IrI3 at its relaxed geometry, as listed in the Alexandria database.

Results
Symmetry: C2/m, No. 12
Raw total energy (eV for the cell shown): -65.88
Energy relative to the elements, uncorrected (eV/atom): -0.9965
Magnetization (μB/f.u.): 0.001

a b c (Å): 7.619 7.619 8.206
angles (deg): 99.16 99.16 119.01
Positions (direct):
I1 0.175 0.825 0.500
I2 0.500 0.500 0.500
I3 0.825 0.175 0.500
La1 0.063 0.380 0.192
La2 0.380 0.063 0.192
La3 0.738 0.738 0.206
La4 0.937 0.620 0.808
La5 0.620 0.937 0.808
La6 0.262 0.262 0.794
Si1 0.335 0.665 0.000
Si2 0.665 0.335 0.000
Ir1 0.000 0.000 0.000

Q: Which value of energy relative to the elements, uncorrected does entry 2 give?
A: -1.0694 eV/atom

Q: The highest raw total energy belongs to which entry?
A: La6Ir2SeI2

What did the second record say?
First-principles (PBE-GGA) data for crystalline La6Ir2SeI2 at its relaxed geometry, as listed in the Alexandria database.

Results
Symmetry: C2/m, No. 12
Raw total energy (eV for the cell shown): -65.63
Energy relative to the elements, uncorrected (eV/atom): -1.0694
Magnetization (μB/f.u.): 0.001

a b c (Å): 7.480 7.480 8.118
angles (deg): 98.31 98.31 118.79
Positions (direct):
La1 0.415 0.067 0.698
La2 0.933 0.585 0.302
La3 0.067 0.415 0.698
La4 0.699 0.699 0.701
La5 0.301 0.301 0.299
La6 0.585 0.933 0.302
I1 0.840 0.160 0.000
I2 0.160 0.840 0.000
Se1 0.000 0.000 0.500
Ir1 0.330 0.670 0.500
Ir2 0.670 0.330 0.500